(1)
TlHg2I6 | PBE | optimized geometry

Values from the calculation:
space-group type: C2/c, No. 15
density: 5.60 Mg/m³
relative energy among the computed polymorphs: 0.0 kJ/mol of atoms
uncorrected formation energy: -2.56 eV/f.u.
density of states at the Fermi level: 3.860 states/eV/cell

abc: 10.1619 10.1619 8.0081
angles: 96.71 96.71 83.27
Last column: nearest neighbours and their distance in Å.
Element x y z (fractional)
1 Tl 0.1346 0.8654 0.7500  6 I 3.17-3.47
2 Tl 0.8654 0.1346 0.2500  6 I 3.17-3.47
3 Hg 0.2187 0.3751 0.7062  4 I 2.83-2.90
4 Hg 0.3751 0.2187 0.2062  4 I 2.83-2.90
5 Hg 0.6249 0.7813 0.7938  4 I 2.83-2.90
6 Hg 0.7813 0.6249 0.2938  4 I 2.83-2.90
7 I 0.0323 0.1842 0.6385  1 Hg 2.83
8 I 0.0886 0.6015 0.9012  1 Hg 2.90, 1 Tl 3.17
9 I 0.1842 0.0323 0.1385  1 Hg 2.83
10 I 0.2911 0.4618 0.4062  2 Hg 2.85-2.88
11 I 0.3985 0.9114 0.5988  1 Hg 2.90, 1 Tl 3.17
12 I 0.4618 0.2911 0.9062  2 Hg 2.85-2.88
13 I 0.5382 0.7089 0.0938  2 Hg 2.85-2.88
14 I 0.6015 0.0886 0.4012  1 Hg 2.90, 1 Tl 3.17
15 I 0.7089 0.5382 0.5938  2 Hg 2.85-2.88
16 I 0.8158 0.9677 0.8615  1 Hg 2.83
17 I 0.9114 0.3985 0.0988  1 Hg 2.90, 1 Tl 3.17
18 I 0.9677 0.8158 0.3615  1 Hg 2.83

***

(2)
Tl2Hg2I | PBE | optimized geometry

Values from the calculation:
space-group type: P4/mbm, No. 127
density: 9.21 Mg/m³
relative energy among the computed polymorphs: 2.2 kJ/mol of atoms
uncorrected formation energy: -0.80 eV/f.u.
density of states at the Fermi level: 3.645 states/eV/cell

abc: 8.9804 8.9804 4.1875
angles: 90.00 90.00 90.00
Last column: nearest neighbours and their distance in Å.
Element x y z (fractional)
1 Tl 0.1873 0.3127 0.0000  6 Hg 3.21-3.52
2 Tl 0.3127 0.8127 0.0000  6 Hg 3.21-3.52
3 Tl 0.6873 0.1873 0.0000  6 Hg 3.21-3.52
4 Tl 0.8127 0.6873 0.0000  6 Hg 3.21-3.52
5 Hg 0.1215 0.6215 0.5000  1 Hg 3.09, 2 Tl 3.21
6 Hg 0.3785 0.1215 0.5000  1 Hg 3.09, 2 Tl 3.21
7 Hg 0.6215 0.8785 0.5000  1 Hg 3.09, 2 Tl 3.21
8 Hg 0.8785 0.3785 0.5000  1 Hg 3.09, 2 Tl 3.21
9 I 0.0000 0.0000 0.5000  4 Hg 3.57, 8 Tl 3.89
10 I 0.5000 0.5000 0.5000  4 Hg 3.57, 8 Tl 3.89

***

(3)
Tl5HgI6 | PBE | optimized geometry

Values from the calculation:
space-group type: C2/m, No. 12
density: 6.36 Mg/m³
uncorrected formation energy: -6.44 eV/f.u.
density of states at the Fermi level: 5.754 states/eV/cell

abc: 8.5923 8.5923 8.6022
angles: 99.64 99.64 120.09
Last column: nearest neighbours and their distance in Å.
Element x y z (fractional)
1 Tl 0.0000 0.0000 0.0000  6 I 3.52-3.56
2 Tl 0.1639 0.8361 0.5000  6 I 3.52-3.53
3 Tl 0.3268 0.6732 0.0000  6 I 3.51-3.53
4 Tl 0.6732 0.3268 0.0000  6 I 3.51-3.53
5 Tl 0.8361 0.1639 0.5000  6 I 3.52-3.53
6 Hg 0.5000 0.5000 0.5000  6 I 3.41-3.46
7 I 0.0951 0.4207 0.2568  1 Hg 3.41, 5 Tl 3.51-3.53
8 I 0.2600 0.2600 0.7534  1 Hg 3.46, 5 Tl 3.52-3.56
9 I 0.4207 0.0951 0.2568  1 Hg 3.41, 5 Tl 3.51-3.53
10 I 0.5793 0.9049 0.7432  1 Hg 3.41, 5 Tl 3.51-3.53
11 I 0.7400 0.7400 0.2466  1 Hg 3.46, 5 Tl 3.52-3.56
12 I 0.9049 0.5793 0.7432  1 Hg 3.41, 5 Tl 3.51-3.53

***

(4)
TlHgI | PBE | optimized geometry

Values from the calculation:
space-group type: C2/m, No. 12
density: 7.64 Mg/m³
relative energy among the computed polymorphs: 0.0 kJ/mol of atoms
uncorrected formation energy: -1.24 eV/f.u.

abc: 4.9538 4.9538 9.4233
angles: 90.05 90.05 90.02
Last column: nearest neighbours and their distance in Å.
Element x y z (fractional)
1 Tl 0.2492 0.2492 0.3014  5 I 3.35-3.53
2 Tl 0.7508 0.7508 0.6986  5 I 3.35-3.53
3 Hg 0.2502 0.7498 0.0000  4 Hg 3.50-3.51, 4 Tl 3.76-3.77
4 Hg 0.7498 0.2502 0.0000  4 Hg 3.50-3.51, 4 Tl 3.76-3.77
5 I 0.2506 0.2506 0.6571  5 Tl 3.35-3.53
6 I 0.7494 0.7494 0.3429  5 Tl 3.35-3.53

***

(5)
Tl2HgI4 | PBE | optimized geometry

Values from the calculation:
space-group type: C2/m, No. 12
density: 5.77 Mg/m³
relative energy among the computed polymorphs: 2.7 kJ/mol of atoms
uncorrected formation energy: -3.19 eV/f.u.

abc: 8.7967 8.7967 8.6388
angles: 117.76 117.76 33.37
Last column: nearest neighbours and their distance in Å.
Element x y z (fractional)
1 Tl 0.2185 0.2185 0.2170  6 I 3.43-3.74
2 Tl 0.7815 0.7815 0.7830  6 I 3.43-3.74
3 Hg 0.5000 0.5000 0.5000  2 I 2.72
4 I 0.1403 0.1403 0.7690  3 Tl 3.43, 2 Hg 3.47
5 I 0.4078 0.4078 0.6858  1 Hg 2.72
6 I 0.5922 0.5922 0.3142  1 Hg 2.72
7 I 0.8597 0.8597 0.2310  3 Tl 3.43, 2 Hg 3.47

***

(6)
Tl2Hg6I | PBE | optimized geometry

Values from the calculation:
space-group type: P4/mmm, No. 123
density: 10.32 Mg/m³
uncorrected formation energy: -1.06 eV/f.u.
density of states at the Fermi level: 2.719 states/eV/cell

abc: 4.5263 4.5263 13.6590
angles: 90.00 90.00 90.00
Last column: nearest neighbours and their distance in Å.
Element x y z (fractional)
1 Tl 0.0000 0.0000 0.1275  4 Hg 3.37, 1 Tl 3.48, 4 I 3.64
2 Tl 0.0000 0.0000 0.8725  4 Hg 3.37, 1 Tl 3.48, 4 I 3.64
3 Hg 0.0000 0.0000 0.5000  12 Hg 3.20-3.44
4 Hg 0.0000 0.5000 0.3102  8 Hg 3.20-3.44, 2 Tl 3.37
5 Hg 0.0000 0.5000 0.6898  8 Hg 3.20-3.44, 2 Tl 3.37
6 Hg 0.5000 0.0000 0.3102  8 Hg 3.20-3.44, 2 Tl 3.37
7 Hg 0.5000 0.0000 0.6898  8 Hg 3.20-3.44, 2 Tl 3.37
8 Hg 0.5000 0.5000 0.5000  12 Hg 3.20-3.44
9 I 0.5000 0.5000 0.0000  8 Tl 3.64